(1)
# NpBiTe2O (PBE, relaxed)
# - Theoretical density: 8166 kg/m3
# - ΔE_f (raw): -5.79 eV/f.u.
# - Total magnetic moment: 7.1 μB/cell
# - Final energy: -67.697 eV per cell
data_NpBiTe2O
_cell_length_a 4.0401
_cell_length_b 4.0401
_cell_length_c 17.8694
_cell_angle_alpha 90.00
_cell_angle_beta 90.00
_cell_angle_gamma 90.00
_symmetry_space_group_name_H-M 'P 4/n m m'
_symmetry_Int_Tables_number 129
loop_
_symmetry_equiv_pos_as_xyz
'x,y,z'
'-x,-y,-z'
'-y+1/2,x,z'
'y+1/2,-x,-z'
'-x+1/2,-y+1/2,z'
'x+1/2,y+1/2,-z'
'y,-x+1/2,z'
'-y,x+1/2,-z'
'x+1/2,-y,-z'
'-x+1/2,y,z'
'-y,-x,-z'
'y,x,z'
'-x,y+1/2,-z'
'x,-y+1/2,z'
'y+1/2,x+1/2,-z'
'-y+1/2,-x+1/2,z'
loop_
_atom_site_label
_atom_site_type_symbol
_atom_site_fract_x
_atom_site_fract_y
_atom_site_fract_z
_atom_site_occupancy
Np1 Np 0.2500 0.2500 0.0642 1
Bi1 Bi 0.2500 0.2500 0.6619 1
Te1 Te 0.2500 0.2500 0.4084 1
Te2 Te 0.2500 0.2500 0.8407 1
O1 O 0.2500 0.7500 0.0000 1

(2)
# NpTlBiO6 (PBE, relaxed)
# - Theoretical density: 8808 kg/m3
# - ΔE_f (raw): -15.27 eV/f.u.
# - Total magnetic moment: 2.0 μB/cell
# - Final energy: -128.424 eV per cell
data_NpTlBiO6
_cell_length_a 5.6746
_cell_length_b 5.6746
_cell_length_c 10.0914
_cell_angle_alpha 90.00
_cell_angle_beta 90.00
_cell_angle_gamma 120.00
_symmetry_space_group_name_H-M 'P -3 1 c'
_symmetry_Int_Tables_number 163
_symmetry_space_group_name_Hall '-P 3 2c'
loop_
_atom_site_label
_atom_site_type_symbol
_atom_site_fract_x
_atom_site_fract_y
_atom_site_fract_z
_atom_site_occupancy
Np1 Np 0.3333 0.6667 0.2500 1
Tl1 Tl 0.3333 0.6667 0.7500 1
Bi1 Bi 0.0000 0.0000 0.0000 1
O1 O 0.0291 0.3604 0.1336 1

(3)
# NpTlBi2O8 (PBE, relaxed)
# - Theoretical density: 8423 kg/m3
# - ΔE_f (raw): -18.91 eV/f.u.
# - Total magnetic moment: 0.1 μB/cell
# - Final energy: -81.644 eV per cell
data_NpTlBi2O8
_cell_length_a 5.1493
_cell_length_b 5.1494
_cell_length_c 7.3504
_cell_angle_alpha 89.43
_cell_angle_beta 89.50
_cell_angle_gamma 87.20
_symmetry_space_group_name_H-M 'P -1'
_symmetry_Int_Tables_number 2
loop_
_symmetry_equiv_pos_as_xyz
'x,y,z'
'-x,-y,-z'
loop_
_atom_site_label
_atom_site_type_symbol
_atom_site_fract_x
_atom_site_fract_y
_atom_site_fract_z
_atom_site_occupancy
Np1 Np 0.0000 0.0000 0.0000 1
Tl1 Tl 0.0000 0.0000 0.5000 1
Bi1 Bi 0.4890 0.4889 0.7528 1
O1 O 0.1775 0.1758 0.1930 1
O2 O 0.1873 0.1892 0.7866 1
O3 O 0.2901 0.7105 0.5009 1
O4 O 0.2942 0.7059 0.9990 1

(4)
# NpTlBiO (PBE, relaxed)
# - Theoretical density: 11050 kg/m3
# - ΔE_f (raw): -3.83 eV/f.u.
# - Total magnetic moment: 8.4 μB/cell
# - Final energy: -55.949 eV per cell
data_NpTlBiO
_cell_length_a 3.2776
_cell_length_b 3.2776
_cell_length_c 18.6423
_cell_angle_alpha 90.00
_cell_angle_beta 90.00
_cell_angle_gamma 90.00
_symmetry_space_group_name_H-M 'I 4 m m'
_symmetry_Int_Tables_number 107
_symmetry_space_group_name_Hall 'I 4 -2'
loop_
_atom_site_label
_atom_site_type_symbol
_atom_site_fract_x
_atom_site_fract_y
_atom_site_fract_z
_atom_site_occupancy
Np1 Np 0.0000 0.0000 0.0000 1
Tl1 Tl 0.0000 0.0000 0.6902 1
Bi1 Bi 0.0000 0.0000 0.3513 1
O1 O 0.0000 0.0000 0.5298 1

| no. | DOS(E_F) (states/eV per cell) |
| --- | --- |
| 1 | 16.40 |
| 2 | 1.61 |
| 3 | 3.11 |
| 4 | 12.68 |